# LaPrTiN3

A relaxed structure of LaPrTiN3 (GGA-PBE, Alexandria).

Values from the calculation:
SG = P2_1/m (11)
formation energy (no corrections) = -1.2447 eV/atom
crystal system = monoclinic
final energy = -8.3410 eV per atom
mass density = 5667 kg/m3
total magnetic moment = 0.000 μB per formula unit

Unit cell a=7.653 b=3.664 c=7.787 alpha=90.00 beta=97.12 gamma=90.00
Sites, in units of the cell vectors:
La  0.164  0.250  0.165
La  0.836  0.750  0.835
Pr  0.377  0.750  0.826
Pr  0.623  0.250  0.174
Ti  0.097  0.250  0.599
Ti  0.903  0.750  0.401
N  0.103  0.250  0.846
N  0.154  0.750  0.521
N  0.387  0.750  0.132
N  0.613  0.250  0.868
N  0.846  0.250  0.479
N  0.897  0.750  0.154